MnTl2C2O6 | PBE+U | relaxed

Results
total energy: -6.64 eV per atom
spin magnetization: 3.0 μB/f.u.

abc: 5.0355 6.3903 6.5953
angles: 112.17 90.00 113.20
Positions (direct):
1 C 0.0120 0.0239 0.2923
2 O 0.8295 0.1036 0.7310
3 C 0.9880 0.9761 0.7077
4 O 0.1271 0.2541 0.3306
5 O 0.1705 0.8964 0.2690
6 O 0.7259 0.8964 0.2690
7 O 0.2741 0.1036 0.7310
8 O 0.8729 0.7459 0.6694
9 Mn 0.5000 0.0000 0.5000
10 Tl 0.6953 0.3906 0.2085
11 Tl 0.3047 0.6094 0.7915